CrH3Pd: optimized geometry, PBE.

Cell and atoms, written as extended XYZ:
```
5
Lattice="3.522 0.000 0.000 0.000 3.522 0.000 0.000 0.000 3.522" Properties=species:S:1:pos:R:3 pbc="T T T"
Cr 0.000 0.000 0.000
H 0.000 1.761 1.761
H 1.761 0.000 1.761
H 1.761 1.761 0.000
Pd 1.761 1.761 1.761
```

Properties
* symmetry: Pm-3m, No. 221
* calculated total energy: -24.1 eV per formula unit
* total moment: 4.25 μB per cell

---

AcH6Pd4: optimized geometry, PBE.

Cell and atoms, written as extended XYZ:
```
11
Lattice="5.174 0.000 0.000 -2.127 4.890 0.000 -1.753 -1.160 4.904" Properties=species:S:1:pos:R:3 pbc="T T T"
Ac 0.000 0.000 0.000
H -0.863 2.593 0.200
H -0.814 1.548 2.191
H -0.968 3.739 3.311
H 0.109 0.931 4.493
H 2.364 0.004 1.650
H 1.652 2.368 2.519
Pd -1.341 1.856 3.877
Pd 0.113 3.121 1.808
Pd 1.251 0.601 3.096
Pd 2.787 1.867 1.111
```

Properties
* symmetry: P1, No. 1
* calculated total energy: -48.7 eV per formula unit
* total moment: 0.00 μB per cell

---

KNi2HgBr: optimized geometry, PBE.

Cell and atoms, written as extended XYZ:
```
5
Lattice="4.563 0.000 0.000 0.000 4.563 0.000 0.000 0.000 6.108" Properties=species:S:1:pos:R:3 pbc="T T T"
K 0.000 0.000 0.000
Ni 0.000 2.282 3.054
Ni 2.282 0.000 3.054
Hg 2.282 2.282 0.000
Br 0.000 0.000 3.054
```

Properties
* symmetry: P4/mmm, No. 123
* total moment: 0.00 μB per cell
* uncorrected formation energy: 404 meV/atom

---

MnTl2P: optimized geometry, PBE.

Cell and atoms, written as extended XYZ:
```
4
Lattice="3.236 0.000 0.000 0.000 3.236 0.000 0.000 0.000 8.496" Properties=species:S:1:pos:R:3 pbc="T T T"
Mn 0.000 0.000 0.000
Tl 0.000 0.000 3.129
Tl 1.618 1.618 6.121
P 1.618 1.618 0.682
```

Properties
* symmetry: P4mm, No. 99
* total moment: 2.80 μB per cell
* energy relative to the elements: 22.4 kJ/mol of formula units
* relative energy among the computed polymorphs: 4 meV per atom

---

AcTaGa2O8: optimized geometry, PBE.

Cell and atoms, written as extended XYZ:
```
12
Lattice="-3.434 3.434 3.388 3.434 -3.434 3.388 3.434 3.434 -3.388" Properties=species:S:1:pos:R:3 pbc="T T T"
Ac 0.000 0.000 0.000
Ta 0.000 3.434 1.694
Ga 3.434 0.000 1.694
Ga 0.000 0.000 3.388
O 2.317 0.000 0.241
O 4.551 0.000 0.241
O 3.434 1.996 -1.221
O 3.434 -1.117 3.147
O 0.000 1.439 2.168
O 3.434 1.117 3.147
O 1.996 3.434 1.221
O 1.439 0.000 4.609
```

Properties
* symmetry: I-4m2, No. 119
* total moment: 0.93 μB per cell
* uncorrected formation energy: -2047 meV/atom

---

Pu2SnSb: optimized geometry, PBE.

Cell and atoms, written as extended XYZ:
```
4
Lattice="0.000 3.763 3.763 3.763 0.000 3.763 3.763 3.763 0.000" Properties=species:S:1:pos:R:3 pbc="T T T"
Pu 1.882 1.882 1.882
Pu 5.645 5.645 5.645
Sn 0.000 0.000 0.000
Sb 3.763 3.763 3.763
```

Properties
* symmetry: Fm-3m, No. 225
* total moment: 11.74 μB per cell
* relative energy among the computed polymorphs: 102 meV per atom
* uncorrected formation energy: -380 meV/atom

---

UVOs2: optimized geometry, PBE.

Cell and atoms, written as extended XYZ:
```
4
Lattice="2.984 0.000 0.000 0.000 2.984 0.000 0.000 0.000 7.195" Properties=species:S:1:pos:R:3 pbc="T T T"
U 0.000 0.000 0.000
V 0.000 0.000 3.598
Os 1.492 1.492 2.091
Os 1.492 1.492 5.104
```

Properties
* symmetry: P4/mmm, No. 123
* total moment: 0.00 μB per cell
* energy relative to the elements: -87.6 kJ/mol of formula units
* relative energy among the computed polymorphs: 0 meV per atom

---

TiAgCl2: optimized geometry, PBE.

Cell and atoms, written as extended XYZ:
```
4
Lattice="1.577 0.910 10.319 -1.577 0.910 10.319 0.000 -1.820 10.319" Properties=species:S:1:pos:R:3 pbc="T T T"
Ti 0.000 0.000 0.000
Ag 0.000 0.000 15.478
Cl 0.000 0.000 11.973
Cl 0.000 0.000 18.984
```

Properties
* symmetry: R-3m, No. 166
* total moment: 0.00 μB per cell
* relative energy among the computed polymorphs: 0 meV per atom
* uncorrected formation energy: -836 meV/atom